[1]
First-principles (PBE) data for crystalline Tb6DyEr2Tm3 at its relaxed geometry, as listed in the Alexandria database. Values from VASP.

## Properties
Symmetry: C2/m
Energy of formation: 19 meV/atom

Quantum ESPRESSO input file:
```
&SYSTEM
  ibrav = 0, nat = 12, ntyp = 4
/
ATOMIC_SPECIES
Tb 158.93 Tb.upf
Tm 168.93 Tm.upf
Er 167.26 Er.upf
Dy 162.50 Dy.upf
CELL_PARAMETERS angstrom
-3.8411 -3.3488 -3.3623
4.9952 -2.5717 2.3890
-6.2991 -0.7431 9.7786
ATOMIC_POSITIONS angstrom
Tb -2.7644 -1.8007 1.2503
Tb -4.4306 -2.0337 7.0820
Tb -0.7145 -4.6299 1.7233
Tb -2.3807 -4.8630 7.5550
Tb -5.3275 -5.1221 5.6371
Tb 0.1824 -1.5415 3.1683
Tm -5.5169 -3.5907 2.4863
Tm 0.3718 -3.0729 6.3190
Tm -2.5725 -3.3318 4.4027
Er -0.8953 -3.0897 -1.4450
Er 2.0494 -2.8308 0.4717
Dy 0.0000 0.0000 0.0000
```

[2]
First-principles (PBE) data for crystalline BiSeCl at its relaxed geometry, as listed in the Alexandria database. Values from VASP.

## Properties
Symmetry: C2/m
ΔE_f (raw): -0.669 eV per atom

Quantum ESPRESSO input file:
```
&SYSTEM
  ibrav = 0, nat = 12, ntyp = 3
/
ATOMIC_SPECIES
Bi 208.98 Bi.upf
Se 78.96 Se.upf
Cl 35.45 Cl.upf
CELL_PARAMETERS angstrom
7.2939 0.0000 0.0000
0.0000 4.1479 0.0000
-2.7247 0.0000 13.7749
ATOMIC_POSITIONS angstrom
Bi 4.9281 2.0740 3.3812
Bi 3.5658 0.0000 10.2687
Bi 1.0035 0.0000 3.5063
Bi -0.3589 2.0740 10.3937
Se -0.1161 2.0740 5.1229
Se 4.6853 2.0740 8.6520
Se 6.0477 0.0000 1.7646
Se -1.4784 0.0000 12.0104
Cl 2.3425 2.0740 1.8672
Cl 3.5891 0.0000 5.0203
Cl 0.9801 0.0000 8.7547
Cl 2.2268 2.0740 11.9077
```

[3]
First-principles (PBE) data for crystalline SrSm3Cu at its relaxed geometry, as listed in the Alexandria database. Values from VASP.

## Properties
Symmetry: Pm-3m
Energy of formation: 133 meV/atom

Quantum ESPRESSO input file:
```
&SYSTEM
  ibrav = 0, nat = 5, ntyp = 3
/
ATOMIC_SPECIES
Sm 150.36 Sm.upf
Sr 87.62 Sr.upf
Cu 63.55 Cu.upf
CELL_PARAMETERS angstrom
5.6195 0.0000 0.0000
0.0000 5.6195 0.0000
0.0000 0.0000 5.6195
ATOMIC_POSITIONS angstrom
Sm 0.0000 2.8097 0.0000
Sm 0.0000 0.0000 2.8097
Sm 2.8097 0.0000 0.0000
Sr 2.8097 2.8097 2.8097
Cu 0.0000 0.0000 0.0000
```

[4]
First-principles (PBE) data for crystalline TcSbRhI2 at its relaxed geometry, as listed in the Alexandria database. Values from VASP.

## Properties
Symmetry: P4/mmm
ΔE_f (raw): 1.127 eV per atom
Distance to the lowest polymorph of the same formula: 124.5 meV per atom

Quantum ESPRESSO input file:
```
&SYSTEM
  ibrav = 0, nat = 5, ntyp = 4
/
ATOMIC_SPECIES
Sb 121.76 Sb.upf
Tc 98.00 Tc.upf
I 126.90 I.upf
Rh 102.91 Rh.upf
CELL_PARAMETERS angstrom
5.4456 0.0000 0.0000
0.0000 5.4456 0.0000
0.0000 0.0000 5.0485
ATOMIC_POSITIONS angstrom
Sb 0.0000 0.0000 2.5243
Tc 0.0000 0.0000 0.0000
I 2.7228 0.0000 0.0000
I 0.0000 2.7228 0.0000
Rh 2.7228 2.7228 2.5243
```

[5]
First-principles (PBE) data for crystalline CoRuW2 at its relaxed geometry, as listed in the Alexandria database. Values from VASP.

## Properties
Symmetry: R3m
Energy of formation: 274 meV/atom
Distance to the lowest polymorph of the same formula: 234.3 meV per atom

Quantum ESPRESSO input file:
```
&SYSTEM
  ibrav = 0, nat = 4, ntyp = 3
/
ATOMIC_SPECIES
Co 58.93 Co.upf
Ru 101.07 Ru.upf
W 183.84 W.upf
CELL_PARAMETERS angstrom
9.0292 0.0092 0.0054
8.6080 2.7256 0.0054
8.6080 1.3347 2.3764
ATOMIC_POSITIONS angstrom
Co 13.1324 2.0363 1.1945
Ru 19.7448 3.0616 1.7959
W 6.3855 0.9901 0.5808
W 0.1049 0.0163 0.0095
```

[6]
First-principles (PBE) data for crystalline Ta2P at its relaxed geometry, as listed in the Alexandria database. Values from VASP.

## Properties
Symmetry: I4/mmm
Energy of formation: -241 meV/atom

Quantum ESPRESSO input file:
```
&SYSTEM
  ibrav = 0, nat = 3, ntyp = 2
/
ATOMIC_SPECIES
Ta 180.95 Ta.upf
P 30.97 P.upf
CELL_PARAMETERS angstrom
-1.5285 1.5285 5.2970
1.5285 -1.5285 5.2970
1.5285 1.5285 -5.2970
ATOMIC_POSITIONS angstrom
Ta 0.0000 0.0000 3.8229
Ta 0.0000 0.0000 6.7711
P 0.0000 0.0000 0.0000
```

Repeat the sixth record exactly.
First-principles (PBE) data for crystalline Ta2P at its relaxed geometry, as listed in the Alexandria database. Values from VASP.

## Properties
Symmetry: I4/mmm
Energy of formation: -241 meV/atom

Quantum ESPRESSO input file:
```
&SYSTEM
  ibrav = 0, nat = 3, ntyp = 2
/
ATOMIC_SPECIES
Ta 180.95 Ta.upf
P 30.97 P.upf
CELL_PARAMETERS angstrom
-1.5285 1.5285 5.2970
1.5285 -1.5285 5.2970
1.5285 1.5285 -5.2970
ATOMIC_POSITIONS angstrom
Ta 0.0000 0.0000 3.8229
Ta 0.0000 0.0000 6.7711
P 0.0000 0.0000 0.0000
```

What is the formula in the second record? BiSeCl